A plane-wave DFT calculation with PBE-GGA was carried out for a relaxed Ac6Sn3Rh2 crystal.

Computed properties:
- DOS(E_F): 7.2 states/eV/f.u.
- ΔH_f (0 K): -0.50 eV/atom
- ρ: 7.65 g/cm³
- Total energy: -5.1668 eV/atom

```
Ac6Sn3Rh2
1.0
5.536 0.000 0.000
0.000 5.536 0.000
-2.768 -2.768 13.632
Ac Sn Rh
6 3 2
Direct
0.081 0.581 0.163
0.581 0.081 0.163
0.919 0.419 0.837
0.419 0.919 0.837
0.705 0.705 0.411
0.295 0.295 0.589
0.000 0.000 0.000
0.828 0.828 0.657
0.172 0.172 0.343
0.398 0.398 0.795
0.602 0.602 0.205
```